Material: K3Rb6Tl
Method: DFT, PBE
State: relaxed

The structure in POSCAR format:
```
K3Rb6Tl
1.0
13.554 0.000 0.000
0.000 16.541 0.000
0.000 0.000 6.806
K Rb Tl
6 12 2
direct
0.000 0.000 0.000
0.129 0.152 0.500
0.371 0.652 0.000
0.500 0.500 0.500
0.629 0.348 0.000
0.871 0.848 0.500
0.051 0.727 0.000
0.146 0.550 0.500
0.243 0.879 0.500
0.257 0.379 0.000
0.354 0.050 0.000
0.449 0.227 0.500
0.551 0.773 0.500
0.646 0.950 0.000
0.743 0.621 0.000
0.757 0.121 0.500
0.854 0.450 0.500
0.949 0.273 0.000
0.000 0.500 0.000
0.500 0.000 0.500
```

Computed properties:
SG = No. 58
ΔE_f = 24 meV/atom

---

Material: PmScCo2P2
Method: DFT, PBE
State: relaxed

The structure in POSCAR format:
```
PmScCo2P2
1.0
3.811 0.000 0.000
-1.905 3.300 0.000
0.000 0.000 7.791
Pm Sc Co P
1 1 2 2
direct
0.000 0.000 0.000
0.000 0.000 0.500
0.333 0.667 0.734
0.667 0.333 0.266
0.333 0.667 0.272
0.667 0.333 0.728
```

Computed properties:
SG = No. 164
ΔE_f = -1018 meV/atom

---

| no. | M_tot (μB per cell) | Fermi-level density of states (states/eV/atom) | VASP energy (eV per atom) |
| --- | --- | --- | --- |
| 1 | 0.00 | 0.78 | -1.1229 |
| 2 | 0.00 | 0.86 | -7.0374 |